[1]
The following is a PBE calculation of a relaxed Ba4LiP crystal, from Alexandria.

```
Ba4LiP
1.0
0.000 5.101 5.101
5.101 0.000 5.101
5.101 5.101 0.000
P Ba Li
1 4 1
Cartesian
0.000 0.000 0.000
6.396 6.396 3.806
3.806 6.396 6.396
6.396 3.806 6.396
3.806 3.806 3.806
7.652 7.652 7.652
```

raw total energy: -2.03 eV per atom
ΔE_f: 0.48 eV/atom
space group: No. 216
DOS at the Fermi energy: 1.118 states/eV/atom

[2]
The following is a PBE calculation of a relaxed YCu2Ge crystal, from Alexandria.

```
YCu2Ge
1.0
-0.773 -0.479 -4.327
4.139 -1.442 -0.580
-0.834 -8.710 -1.147
Y Ge Cu
2 2 4
Cartesian
0.038 -5.075 -3.964
0.000 0.000 0.000
2.494 -5.556 -2.090
1.683 -0.960 -2.454
-0.053 -2.582 -2.385
2.161 -3.214 -1.869
1.671 -7.987 -5.063
1.286 -7.479 -2.791
```

raw total energy: -4.97 eV per atom
ΔE_f: -0.16 eV/atom
space group: No. 122
DOS at the Fermi energy: 0.406 states/eV/atom

[3]
The following is a PBE calculation of a relaxed ScRhO2F crystal, from Alexandria.

```
ScRhO2F
1.0
4.135 0.000 0.000
0.000 4.135 0.000
0.000 0.000 3.938
Sc F Rh O
1 1 1 2
Cartesian
0.000 0.000 0.000
0.000 0.000 1.969
2.068 2.068 1.969
0.000 2.068 0.000
2.068 0.000 0.000
```

raw total energy: -6.65 eV per atom
space group: No. 123
raw formation energy: -1558 meV per atom
DOS at the Fermi energy: 0.733 states/eV/atom